No. 1
Density functional theory data (PBE-GGA) for a relaxed structure of Sc4Si3Mo2N3.

Results
energy: -8.350 eV per atom

```
data_Sc4Si3Mo2N3
_cell_length_a 9.397
_cell_length_b 5.447
_cell_length_c 13.424
_cell_angle_alpha 90.00
_cell_angle_beta 103.48
_cell_angle_gamma 90.00
_space_group_name_H-M_alt 'C 1 2/c 1'
_space_group_IT_number 15
loop_
_space_group_symop_operation_xyz
'x,y,z'
'-x,-y,-z'
'-x,y,-z+1/2'
'x,-y,z+1/2'
'x+1/2,y+1/2,z'
'-x+1/2,-y+1/2,-z'
'-x+1/2,y+1/2,-z+1/2'
'x+1/2,-y+1/2,z+1/2'
loop_
_atom_site_label
_atom_site_type_symbol
_atom_site_fract_x
_atom_site_fract_y
_atom_site_fract_z
_atom_site_occupancy
Sc1 Sc 0.117 0.085 0.097 1
Sc2 Sc 0.218 0.081 0.403 1
Si1 Si 0.000 0.143 0.750 1
Si2 Si 0.137 0.449 0.250 1
Mo1 Mo 0.052 0.418 0.912 1
N1 N 0.085 0.244 0.500 1
N2 N 0.250 0.250 0.000 1
```

***

No. 2
Density functional theory data (PBE-GGA) for a relaxed structure of Sc4Sn3Mo2N3.

Results
energy: -7.899 eV per atom

```
data_Sc4Sn3Mo2N3
_cell_length_a 9.701
_cell_length_b 5.623
_cell_length_c 14.348
_cell_angle_alpha 90.00
_cell_angle_beta 102.85
_cell_angle_gamma 90.00
_space_group_name_H-M_alt 'C 1 2/c 1'
_space_group_IT_number 15
loop_
_space_group_symop_operation_xyz
'x,y,z'
'-x,-y,-z'
'-x,y,-z+1/2'
'x,-y,z+1/2'
'x+1/2,y+1/2,z'
'-x+1/2,-y+1/2,-z'
'-x+1/2,y+1/2,-z+1/2'
'x+1/2,-y+1/2,z+1/2'
loop_
_atom_site_label
_atom_site_type_symbol
_atom_site_fract_x
_atom_site_fract_y
_atom_site_fract_z
_atom_site_occupancy
Sc1 Sc 0.112 0.090 0.084 1
Sc2 Sc 0.225 0.079 0.416 1
Sn1 Sn 0.000 0.101 0.750 1
Sn2 Sn 0.158 0.427 0.251 1
Mo1 Mo 0.051 0.422 0.919 1
N1 N 0.086 0.243 0.500 1
N2 N 0.250 0.250 0.000 1
```

***

No. 3
Density functional theory data (PBE-GGA) for a relaxed structure of Sc2Tl3Mo4N3.

Results
energy: -7.706 eV per atom

```
data_Sc2Tl3Mo4N3
_cell_length_a 9.766
_cell_length_b 5.674
_cell_length_c 14.065
_cell_angle_alpha 90.00
_cell_angle_beta 102.80
_cell_angle_gamma 90.00
_space_group_name_H-M_alt 'C 1 2/c 1'
_space_group_IT_number 15
loop_
_space_group_symop_operation_xyz
'x,y,z'
'-x,-y,-z'
'-x,y,-z+1/2'
'x,-y,z+1/2'
'x+1/2,y+1/2,z'
'-x+1/2,-y+1/2,-z'
'-x+1/2,y+1/2,-z+1/2'
'x+1/2,-y+1/2,z+1/2'
loop_
_atom_site_label
_atom_site_type_symbol
_atom_site_fract_x
_atom_site_fract_y
_atom_site_fract_z
_atom_site_occupancy
Sc1 Sc 0.059 0.085 0.413 1
Tl1 Tl 0.000 0.439 0.250 1
Tl2 Tl 0.178 0.099 0.747 1
Mo1 Mo 0.108 0.433 0.570 1
Mo2 Mo 0.219 0.408 0.929 1
N1 N 0.078 0.236 0.000 1
N2 N 0.250 0.250 0.500 1
```

***

These records have total magnetization values of 0.0 0.1 0.0 μB/cell, in the order they appear.
These records have mass density values of 5.0 6.7 9.9 Mg/m³, in the order they appear.